The following is a DFT calculation (PBE-GGA) of a geometry-optimized LiNdIn2Cl6 structure.

a = 7.314 Å, b = 7.544 Å, c = 12.691 Å
α = 90.00°, β = 124.85°, γ = 90.00°
Space group P2_1/c (No. 14)
One atom of each set of equivalent atoms:
1 Li 0.000 0.000 0.000 x2
2 Nd 0.500 0.000 0.500 x2
3 In 0.231 0.064 0.744 x4
4 Cl 0.156 0.206 0.460 x4
5 Cl 0.251 0.702 0.458 x4
6 Cl 0.326 0.017 0.243 x4

Output
* DOS at the Fermi energy: 0.0 states/eV per cell
* formation energy from raw total energies: -1.59 eV/atom
* VASP energy: -3.9133 eV/atom